Ge2BiCl8, optimized geometry, DFT PBE-GGA; crystal system = monoclinic; formation energy (no corrections) = -0.746 eV per atom; volume = 388 Å³/cell; total magnetization = 0.00 μB/cell; VASP energy = -3.281 eV/atom
1.0
6.814 -0.402 -0.305
-0.323 7.474 -1.184
-0.323 0.872 7.517
Ge Bi Cl
2 1 8
Cartesian
3.592 5.716 4.337
2.576 2.228 1.690
0.000 0.000 0.000
1.155 3.177 7.049
5.012 0.300 4.866
1.272 6.886 5.225
4.895 1.057 0.802
1.155 7.644 1.162
5.012 4.767 -1.022
4.959 4.278 3.246
1.209 3.666 2.781